[1]
# CaPb2Br (PBE, optimized geometry)
# - Energy above the lowest structure with this stoichiometry: 16 meV/atom
# - E_form (uncorrected): -0.7172 eV/atom
# - Total moment: 0.000 μB per atom
# - Theoretical density: 6.693 g/cm³
# - VASP energy: -3.490 eV/atom
data_CaPb2Br
_chemical_formula_sum 'Ca1 Pb2 Br1'
_space_group_name_H-M_alt 'P 4 m m'
_space_group_IT_number 99
_cell_length_a 3.771
_cell_length_b 3.771
_cell_length_c 9.326
_cell_angle_alpha 90.00
_cell_angle_beta 90.00
_cell_angle_gamma 90.00
loop_
_space_group_symop_operation_xyz
'x,y,z'
'-y,x,z'
'-x,-y,z'
'y,-x,z'
'-x,y,z'
'y,x,z'
'x,-y,z'
'-y,-x,z'
loop_
_atom_site_label
_atom_site_fract_x
_atom_site_fract_y
_atom_site_fract_z
Ca1 0.000 0.000 0.000
Pb1 0.000 0.000 0.452
Pb2 0.500 0.500 0.246
Br1 0.500 0.500 0.836

=====

[2]
# V3S4 (PBE, optimized geometry)
# - Energy above the lowest structure with this stoichiometry: 21 meV/atom
# - E_form (uncorrected): -0.9943 eV/atom
# - Total moment: 0.283 μB per atom
# - Theoretical density: 4.317 g/cm³
# - VASP energy: -7.261 eV/atom
data_V3S4
_chemical_formula_sum 'V6 S8'
_space_group_name_H-M_alt 'C 1 2/m 1'
_space_group_IT_number 12
_cell_length_a 12.595
_cell_length_b 3.243
_cell_length_c 5.857
_cell_angle_alpha 90.00
_cell_angle_beta 115.30
_cell_angle_gamma 90.00
loop_
_space_group_symop_operation_xyz
'x,y,z'
'-x,-y,-z'
'-x,y,-z'
'x,-y,z'
'x+1/2,y+1/2,z'
'-x+1/2,-y+1/2,-z'
'-x+1/2,y+1/2,-z'
'x+1/2,-y+1/2,z'
loop_
_atom_site_label
_atom_site_fract_x
_atom_site_fract_y
_atom_site_fract_z
V1 0.000 0.000 0.000
V2 0.242 0.500 0.682
S1 0.109 0.000 0.449
S2 0.141 0.500 0.980

=====

[3]
# Zn2TcAg (PBE, optimized geometry)
# - Energy of formation: 0.480 eV per formula unit
# - Energy above the lowest structure with this stoichiometry: 55 meV/atom
# - Total moment: 0.000 μB per atom
# - Theoretical density: 9.354 g/cm³
# - VASP energy: -3.821 eV/atom
data_Zn2TcAg
_chemical_formula_sum 'Zn2 Tc1 Ag1'
_space_group_name_H-M_alt 'P 4/m m m'
_space_group_IT_number 123
_space_group_name_Hall '-P 4 2'
_cell_length_a 4.162
_cell_length_b 4.162
_cell_length_c 3.451
_cell_angle_alpha 90.00
_cell_angle_beta 90.00
_cell_angle_gamma 90.00
loop_
_atom_site_label
_atom_site_fract_x
_atom_site_fract_y
_atom_site_fract_z
Zn1 0.000 0.500 0.000
Tc1 0.000 0.000 0.500
Ag1 0.500 0.500 0.500

=====

[4]
# CuTeIr2 (PBE, optimized geometry)
# - E_form (uncorrected): 0.4858 eV/atom
# - Total moment: 0.000 μB per atom
# - Theoretical density: 14.758 g/cm³
# - VASP energy: -5.754 eV/atom
data_CuTeIr2
_chemical_formula_sum 'Cu4 Te4 Ir8'
_space_group_name_H-M_alt 'F -4 3 m'
_space_group_IT_number 216
_space_group_name_Hall 'F -4 2 3'
_cell_length_a 6.375
_cell_length_b 6.375
_cell_length_c 6.375
_cell_angle_alpha 90.00
_cell_angle_beta 90.00
_cell_angle_gamma 90.00
loop_
_atom_site_label
_atom_site_fract_x
_atom_site_fract_y
_atom_site_fract_z
Cu1 0.000 0.000 0.000
Te1 0.250 0.250 0.250
Ir1 0.000 0.000 0.500
Ir2 0.250 0.250 0.750

=====

[5]
# Er2CuBr8 (PBE, optimized geometry)
# - E_form (uncorrected): -1.2524 eV/atom
# - Total moment: 0.077 μB per atom
# - Theoretical density: 3.513 g/cm³
# - VASP energy: -3.671 eV/atom
data_Er2CuBr8
_chemical_formula_sum 'Er4 Cu2 Br16'
_space_group_name_H-M_alt 'C 1 2/m 1'
_space_group_IT_number 12
_cell_length_a 13.824
_cell_length_b 9.645
_cell_length_c 7.356
_cell_angle_alpha 90.00
_cell_angle_beta 90.87
_cell_angle_gamma 90.00
loop_
_space_group_symop_operation_xyz
'x,y,z'
'-x,-y,-z'
'-x,y,-z'
'x,-y,z'
'x+1/2,y+1/2,z'
'-x+1/2,-y+1/2,-z'
'-x+1/2,y+1/2,-z'
'x+1/2,-y+1/2,z'
loop_
_atom_site_label
_atom_site_fract_x
_atom_site_fract_y
_atom_site_fract_z
Er1 0.197 0.000 0.175
Cu1 0.000 0.000 0.500
Br1 0.086 0.190 0.345
Br2 0.124 0.500 0.730
Br3 0.178 0.000 0.821

=====

[6]
# TbY2Er3Tm6 (PBE, optimized geometry)
# - Energy of formation: 0.318 eV per formula unit
# - Total moment: 0.001 μB per atom
# - Theoretical density: 8.373 g/cm³
# - VASP energy: -4.813 eV/atom
data_TbY2Er3Tm6
_chemical_formula_sum 'Tb2 Y4 Er6 Tm12'
_space_group_name_H-M_alt 'C 1 2/m 1'
_space_group_IT_number 12
_cell_length_a 6.087
_cell_length_b 10.528
_cell_length_c 11.642
_cell_angle_alpha 90.00
_cell_angle_beta 100.02
_cell_angle_gamma 90.00
loop_
_space_group_symop_operation_xyz
'x,y,z'
'-x,-y,-z'
'-x,y,-z'
'x,-y,z'
'x+1/2,y+1/2,z'
'-x+1/2,-y+1/2,-z'
'-x+1/2,y+1/2,-z'
'x+1/2,-y+1/2,z'
loop_
_atom_site_label
_atom_site_fract_x
_atom_site_fract_y
_atom_site_fract_z
Tb1 0.000 0.000 0.000
Y1 0.000 0.333 0.000
Er1 0.000 0.167 0.500
Er2 0.000 0.500 0.500
Tm1 0.249 0.000 0.748
Tm2 0.249 0.334 0.748

=====

[7]
# Tb3ErSb4 (PBE, optimized geometry)
# - E_form (uncorrected): -1.1392 eV/atom
# - Total moment: 0.000 μB per atom
# - Theoretical density: 7.872 g/cm³
# - VASP energy: -5.507 eV/atom
data_Tb3ErSb4
_chemical_formula_sum 'Tb3 Er1 Sb4'
_space_group_name_H-M_alt 'P m -3 m'
_space_group_IT_number 221
_space_group_name_Hall '-P 4 2 3'
_cell_length_a 6.202
_cell_length_b 6.202
_cell_length_c 6.202
_cell_angle_alpha 90.00
_cell_angle_beta 90.00
_cell_angle_gamma 90.00
loop_
_atom_site_label
_atom_site_fract_x
_atom_site_fract_y
_atom_site_fract_z
Tb1 0.000 0.000 0.500
Er1 0.500 0.500 0.500
Sb1 0.000 0.000 0.000
Sb2 0.000 0.500 0.500

=====

[8]
# Sc3TiH8 (PBE, optimized geometry)
# - Total moment: 0.030 μB per atom
# - Theoretical density: 3.141 g/cm³
# - VASP energy: -5.117 eV/atom
data_Sc3TiH8
_chemical_formula_sum 'Sc3 Ti1 H8'
_space_group_name_H-M_alt 'P m -3 m'
_space_group_IT_number 221
_space_group_name_Hall '-P 4 2 3'
_cell_length_a 4.655
_cell_length_b 4.655
_cell_length_c 4.655
_cell_angle_alpha 90.00
_cell_angle_beta 90.00
_cell_angle_gamma 90.00
loop_
_atom_site_label
_atom_site_fract_x
_atom_site_fract_y
_atom_site_fract_z
Sc1 0.000 0.000 0.500
Ti1 0.500 0.500 0.500
H1 0.260 0.260 0.260

=====

[9]
# KBe2Zn (PBE, optimized geometry)
# - Energy of formation: 2.749 eV per formula unit
# - Total moment: 0.000 μB per atom
# - Theoretical density: 3.004 g/cm³
# - VASP energy: -1.769 eV/atom
data_KBe2Zn
_chemical_formula_sum 'K1 Be2 Zn1'
_space_group_name_H-M_alt 'P 4/m m m'
_space_group_IT_number 123
_space_group_name_Hall '-P 4 2'
_cell_length_a 2.925
_cell_length_b 2.925
_cell_length_c 7.916
_cell_angle_alpha 90.00
_cell_angle_beta 90.00
_cell_angle_gamma 90.00
loop_
_atom_site_label
_atom_site_fract_x
_atom_site_fract_y
_atom_site_fract_z
K1 0.000 0.000 0.000
Be1 0.500 0.500 0.337
Zn1 0.000 0.000 0.500

=====

[10]
# RbScMo2 (PBE, optimized geometry)
# - Energy of formation: 7.423 eV per formula unit
# - Energy above the lowest structure with this stoichiometry: 0 meV/atom
# - Total moment: 1.231 μB per atom
# - Theoretical density: 5.889 g/cm³
# - VASP energy: -5.385 eV/atom
data_RbScMo2
_chemical_formula_sum 'Rb4 Sc4 Mo8'
_space_group_name_H-M_alt 'F m -3 m'
_space_group_IT_number 225
_space_group_name_Hall '-F 4 2 3'
_cell_length_a 7.137
_cell_length_b 7.137
_cell_length_c 7.137
_cell_angle_alpha 90.00
_cell_angle_beta 90.00
_cell_angle_gamma 90.00
loop_
_atom_site_label
_atom_site_fract_x
_atom_site_fract_y
_atom_site_fract_z
Rb1 0.000 0.000 0.000
Sc1 0.000 0.000 0.500
Mo1 0.250 0.250 0.250

=====

[11]
# SmGe12Pt4 (PBE, optimized geometry)
# - Energy of formation: -6.446 eV per formula unit
# - Total moment: 0.000 μB per atom
# - Theoretical density: 9.037 g/cm³
# - VASP energy: -5.337 eV/atom
data_SmGe12Pt4
_chemical_formula_sum 'Sm2 Ge24 Pt8'
_space_group_name_H-M_alt 'I m -3'
_space_group_IT_number 204
_space_group_name_Hall '-I 2 2 3'
_cell_length_a 8.717
_cell_length_b 8.717
_cell_length_c 8.717
_cell_angle_alpha 90.00
_cell_angle_beta 90.00
_cell_angle_gamma 90.00
loop_
_atom_site_label
_atom_site_fract_x
_atom_site_fract_y
_atom_site_fract_z
Sm1 0.000 0.000 0.000
Ge1 0.000 0.354 0.150
Pt1 0.250 0.250 0.250

=====

[12]
# KMn2GeBr8 (PBE, optimized geometry)
# - E_form (uncorrected): -0.8060 eV/atom
# - Total moment: 0.750 μB per atom
# - Theoretical density: 3.583 g/cm³
# - VASP energy: -3.926 eV/atom
data_KMn2GeBr8
_chemical_formula_sum 'K1 Mn2 Ge1 Br8'
_space_group_name_H-M_alt 'P -3'
_space_group_IT_number 147
_cell_length_a 6.9189
_cell_length_b 6.9189
_cell_length_c 9.6241
_cell_angle_alpha 90.00
_cell_angle_beta 90.00
_cell_angle_gamma 120.00
loop_
_space_group_symop_operation_xyz
'x,y,z'
'-x,-y,-z'
'-y,x-y,z'
'y,-x+y,-z'
'-x+y,-x,z'
'x-y,x,-z'
loop_
_atom_site_label
_atom_site_fract_x
_atom_site_fract_y
_atom_site_fract_z
K1 0.0000 0.0000 0.0000
Mn1 0.3333 0.6667 0.7381
Ge1 0.0000 0.0000 0.5000
Br1 0.0044 0.6872 0.3289
Br2 0.3333 0.6667 0.9871

=====

total moment of number 3 (Zn2TcAg)?
0.000 μB per atom

=====

Which value of theoretical density does entry 9 give?
3.004 g/cm³